[1]
TmInCoPd, relaxed, DFT PBE-GGA; space-group type = No. 216; ΔH_f (0 K) = -457 meV per atom
1.0
4.658 0.000 0.000
2.329 4.034 0.000
2.329 1.345 3.803
In Pd Co Tm
1 1 1 1
Cartesian
4.658 2.689 1.902
6.987 4.034 2.852
2.329 1.345 0.951
0.000 0.000 0.000

[2]
YInCoPd, relaxed, DFT PBE-GGA; space-group type = No. 216; ΔH_f (0 K) = -414 meV per atom
1.0
4.706 0.000 0.000
2.353 4.075 0.000
2.353 1.358 3.842
Y In Pd Co
1 1 1 1
Cartesian
7.059 4.075 2.882
2.353 1.358 0.961
4.706 2.717 1.921
0.000 0.000 0.000

[3]
Pm6InCo2, relaxed, DFT PBE-GGA; space-group type = No. 71; ΔH_f (0 K) = -193 meV per atom; polymorph energy (0 for the lowest one) = 0 meV per atom
1.0
-2.031 -8.289 -1.085
4.669 3.110 -6.522
4.754 0.805 7.125
Pm Co In
12 4 2
Cartesian
6.138 -1.519 0.585
2.384 -5.072 -4.323
7.767 1.463 1.698
3.875 -0.360 -2.193
5.009 0.698 3.840
3.517 -4.014 1.710
0.188 -5.397 1.497
2.772 -0.613 1.378
7.204 1.024 -1.980
-0.375 -5.837 -2.181
4.621 -3.761 -1.861
1.255 -2.855 -1.067
0.918 -2.522 2.035
5.026 -2.220 3.254
2.366 -2.154 -3.737
1.805 -4.962 4.004
4.712 1.958 0.301
0.000 0.000 0.000

[4]
Pm2InCo, relaxed, DFT PBE-GGA; space-group type = No. 12; ΔH_f (0 K) = -275 meV per atom
1.0
3.758 0.000 0.000
-1.879 7.098 -0.067
0.000 -0.532 7.609
In Pm Co
2 4 2
Cartesian
1.879 0.994 7.288
0.000 5.572 0.254
0.000 0.449 2.239
0.000 2.823 5.309
1.879 3.743 2.233
1.879 6.117 5.303
1.879 1.030 4.436
0.000 5.536 3.106

[5]
Pm11In9Co4, relaxed, DFT PBE-GGA; space-group type = No. 65; ΔH_f (0 K) = -406 meV per atom
1.0
3.749 0.000 0.000
0.000 12.204 -5.108
0.000 0.099 13.230
In Pm Co
9 11 4
Cartesian
1.874 4.575 9.208
1.874 6.152 4.061
1.874 11.293 5.611
1.874 10.266 0.589
1.874 9.598 8.179
1.874 2.706 -0.057
1.874 7.728 -1.087
1.874 1.011 2.510
1.874 2.038 7.533
0.000 2.063 10.255
0.000 4.639 6.352
0.000 7.192 9.174
0.000 10.241 -2.133
0.000 11.263 3.008
0.000 0.000 0.000
0.000 1.041 5.113
0.000 7.664 1.770
0.000 5.111 -1.052
0.000 8.440 5.572
0.000 3.863 2.550
1.874 3.041 4.679
1.874 6.806 7.164
1.874 9.262 3.443
1.874 5.498 0.958

[6]
Pm2InCo, relaxed, DFT PBE-GGA; space-group type = No. 123; ΔH_f (0 K) = -229 meV per atom
1.0
3.559 0.000 0.000
0.000 3.559 0.000
0.000 0.000 7.775
Co Pm In
1 2 1
Cartesian
1.779 1.779 0.000
0.000 0.000 1.673
0.000 0.000 6.102
1.779 1.779 3.887

[7]
Pm8In2Co, relaxed, DFT PBE-GGA; space-group type = No. 12; ΔH_f (0 K) = -185 meV per atom
1.0
-4.888 0.114 2.856
-3.531 -0.285 -6.034
4.164 -8.044 1.837
Pm In Co
8 2 1
Cartesian
-4.130 -4.949 -1.258
-3.465 -1.759 -0.246
-5.147 -2.317 -3.104
0.892 -5.897 1.763
-0.791 -6.455 -1.095
-1.571 -7.950 3.244
-2.685 -0.264 -4.585
-0.125 -3.266 -0.083
-2.448 -5.099 1.627
-1.807 -3.115 -2.968
-2.444 0.057 1.428

[8]
Pm5In2Co, relaxed, DFT PBE-GGA; space-group type = No. 55; ΔH_f (0 K) = -279 meV per atom
1.0
4.796 0.000 0.000
0.000 7.892 0.000
0.000 0.000 12.251
In Pm Co
4 10 2
Cartesian
2.398 0.640 10.194
2.398 4.586 8.182
2.398 7.251 2.057
2.398 3.306 4.069
0.000 4.959 2.432
0.000 0.000 0.000
0.000 3.946 6.125
2.398 5.389 11.399
2.398 6.449 5.273
0.000 2.933 9.819
0.000 6.879 8.557
2.398 1.443 6.978
2.398 2.503 0.852
0.000 1.013 3.694
0.000 0.000 6.125
0.000 3.946 0.000